Compound: CsZr2BiBr
Source: the Alexandria database
Functional: GGA-PBE
Structure: optimized geometry

Summary:
**Crystal system**: tetragonal
**Energy**: -14.12 eV/f.u.
**ΔE_f (raw)**: 1.878 eV/atom
**Density**: 5.55 g cm⁻³

Lattice parameters (Å, degrees): 5.449 5.449 6.089 90.00 90.00 90.00
Space group P4/mmm (No. 123)
Inequivalent atoms, fractional coordinates:
Cs 0.000 0.000 0.000
Zr 0.000 0.500 0.000
Bi 0.000 0.000 0.500
Br 0.500 0.500 0.500